(1)
The following is a PBE-GGA calculation of an optimized crystal structure of Ba2LiRh2, from Alexandria.

Cell and atoms, written as POSCAR:
```
Ba2LiRh2
1.0
-2.317 2.795 4.951
2.317 -2.795 4.951
2.317 2.795 -4.951
Ba Li Rh
2 1 2
direct
0.190 0.190 0.000 Ba
0.810 0.810 0.000 Ba
0.500 0.000 0.500 Li
0.253 0.500 0.753 Rh
0.747 0.500 0.247 Rh
```

Summary:
**DOS at the Fermi energy**: 4.59 states/eV/f.u.
**E_form**: -127 meV per atom
**SG**: Immm (71)
**Energy above the most stable polymorph in this dataset**: 0 meV per atom
**Crystal system**: orthorhombic


(2)
The following is a PBE-GGA calculation of an optimized crystal structure of AsOsRu2, from Alexandria.

Cell and atoms, written as POSCAR:
```
AsOsRu2
1.0
3.897 0.000 0.000
0.000 3.897 0.000
0.000 0.000 3.817
As Os Ru
1 1 2
direct
0.000 0.000 0.000 As
0.500 0.500 0.000 Os
0.000 0.500 0.500 Ru
0.500 0.000 0.500 Ru
```

Summary:
**DOS at the Fermi energy**: 6.23 states/eV/f.u.
**E_form**: 460 meV per atom
**SG**: P4/mmm (123)
**Crystal system**: tetragonal


(3)
The following is a PBE-GGA calculation of an optimized crystal structure of ScCo2Re, from Alexandria.

Cell and atoms, written as POSCAR:
```
ScCo2Re
1.0
0.000 3.003 3.003
3.003 0.000 3.003
3.003 3.003 0.000
Sc Co Re
1 2 1
direct
0.000 0.000 0.000 Sc
0.250 0.250 0.250 Co
0.500 0.500 0.500 Co
0.750 0.750 0.750 Re
```

Summary:
**DOS at the Fermi energy**: 1.27 states/eV/f.u.
**E_form**: 208 meV per atom
**SG**: F-43m (216)
**Energy above the most stable polymorph in this dataset**: 289 meV per atom
**Crystal system**: cubic


(4)
The following is a PBE-GGA calculation of an optimized crystal structure of RhPb2S, from Alexandria.

Cell and atoms, written as POSCAR:
```
RhPb2S
1.0
-3.167 3.167 6.143
3.167 -3.167 6.143
3.167 3.167 -6.143
Rh Pb S
2 4 2
direct
0.000 0.000 0.000 Rh
0.750 0.250 0.500 Rh
0.101 0.625 0.976 Pb
0.375 0.351 0.476 Pb
0.649 0.125 0.024 Pb
0.875 0.899 0.524 Pb
0.250 0.750 0.500 S
0.500 0.500 0.000 S
```

Summary:
**DOS at the Fermi energy**: 3.62 states/eV/f.u.
**Uncorrected formation energy**: 110 meV/atom
**SG**: I-42d (122)
**Crystal system**: tetragonal


(5)
The following is a PBE-GGA calculation of an optimized crystal structure of CeMgSn2Pd4, from Alexandria.

Cell and atoms, written as POSCAR:
```
CeMgSn2Pd4
1.0
2.296 1.325 8.466
-2.296 1.325 8.466
0.000 -2.651 8.466
Ce Mg Sn Pd
1 1 2 4
direct
0.000 0.000 0.000 Ce
0.500 0.500 0.500 Mg
0.245 0.245 0.245 Sn
0.755 0.755 0.755 Sn
0.132 0.132 0.132 Pd
0.395 0.395 0.395 Pd
0.605 0.605 0.605 Pd
0.868 0.868 0.868 Pd
```

Summary:
**DOS at the Fermi energy**: 7.71 states/eV/f.u.
**E_form**: -702 meV per atom
**SG**: R-3m (166)
**Crystal system**: trigonal


(6)
The following is a PBE-GGA calculation of an optimized crystal structure of Th5Se5S, from Alexandria.

Cell and atoms, written as POSCAR:
```
Th5Se5S
1.0
6.536 -2.938 0.000
6.536 2.938 0.000
-2.646 0.000 7.850
Th Se S
5 5 1
direct
0.000 0.000 0.000 Th
0.335 0.335 0.156 Th
0.339 0.339 0.680 Th
0.661 0.661 0.320 Th
0.665 0.665 0.844 Th
0.155 0.155 0.810 Se
0.166 0.166 0.343 Se
0.500 0.500 0.500 Se
0.834 0.834 0.657 Se
0.845 0.845 0.190 Se
0.500 0.500 0.000 S
```

Summary:
**DOS at the Fermi energy**: 7.46 states/eV/f.u.
**Uncorrected formation energy**: -1666 meV/atom
**SG**: C2/m (12)
**Crystal system**: monoclinic


(7)
The following is a PBE-GGA calculation of an optimized crystal structure of BaIn12Sn7, from Alexandria.

Cell and atoms, written as POSCAR:
```
BaIn12Sn7
1.0
-5.541 5.541 5.541
5.541 -5.541 5.541
5.541 5.541 -5.541
Ba In Sn
1 12 7
direct
0.000 0.000 0.000 Ba
0.118 0.350 0.768 In
0.232 0.582 0.350 In
0.232 0.882 0.650 In
0.350 0.232 0.582 In
0.350 0.768 0.118 In
0.418 0.650 0.768 In
0.582 0.350 0.232 In
0.650 0.232 0.882 In
0.650 0.768 0.418 In
0.768 0.118 0.350 In
0.768 0.418 0.650 In
0.882 0.650 0.232 In
0.000 0.000 0.500 Sn
0.000 0.500 0.000 Sn
0.000 0.500 0.500 Sn
0.500 0.000 0.000 Sn
0.500 0.000 0.500 Sn
0.500 0.500 0.000 Sn
0.500 0.500 0.500 Sn
```

Summary:
**DOS at the Fermi energy**: 11.43 states/eV/f.u.
**E_form**: 103 meV per atom
**SG**: Im-3 (204)
**Crystal system**: cubic


(8)
The following is a PBE-GGA calculation of an optimized crystal structure of Nd3Ho5Tm4, from Alexandria.

Cell and atoms, written as POSCAR:
```
Nd3Ho5Tm4
1.0
7.964 -2.942 0.000
7.964 2.942 0.000
-4.062 0.000 8.282
Nd Ho Tm
3 5 4
direct
0.000 0.000 0.000 Nd
0.292 0.292 0.771 Nd
0.708 0.708 0.229 Nd
0.074 0.074 0.696 Ho
0.173 0.173 0.389 Ho
0.500 0.500 0.000 Ho
0.827 0.827 0.611 Ho
0.926 0.926 0.304 Ho
0.292 0.292 0.125 Tm
0.419 0.419 0.559 Tm
0.581 0.581 0.441 Tm
0.708 0.708 0.875 Tm
```

Summary:
**DOS at the Fermi energy**: 19.41 states/eV/f.u.
**E_form**: 247 meV per atom
**SG**: C2/m (12)
**Energy above the most stable polymorph in this dataset**: 226 meV per atom
**Crystal system**: monoclinic


(9)
The following is a PBE-GGA calculation of an optimized crystal structure of Al2MoOs, from Alexandria.

Cell and atoms, written as POSCAR:
```
Al2MoOs
1.0
0.000 3.068 3.068
3.068 0.000 3.068
3.068 3.068 0.000
Al Mo Os
2 1 1
direct
0.250 0.250 0.250 Al
0.750 0.750 0.750 Al
0.000 0.000 0.000 Mo
0.500 0.500 0.500 Os
```

Summary:
**DOS at the Fermi energy**: 4.74 states/eV/f.u.
**E_form**: -134 meV per atom
**SG**: Fm-3m (225)
**Energy above the most stable polymorph in this dataset**: 190 meV per atom
**Crystal system**: cubic


(10)
The following is a PBE-GGA calculation of an optimized crystal structure of KLi2Co, from Alexandria.

Cell and atoms, written as POSCAR:
```
KLi2Co
1.0
4.361 -1.431 0.000
4.361 1.431 0.000
-0.488 0.000 7.191
K Li Co
1 2 1
direct
0.000 0.000 0.000 K
0.234 0.234 0.653 Li
0.766 0.766 0.347 Li
0.500 0.500 0.500 Co
```

Summary:
**DOS at the Fermi energy**: 4.59 states/eV/f.u.
**E_form**: 549 meV per atom
**SG**: C2/m (12)
**Energy above the most stable polymorph in this dataset**: 26 meV per atom
**Crystal system**: monoclinic


(11)
The following is a PBE-GGA calculation of an optimized crystal structure of Sr3PbC4O12, from Alexandria.

Cell and atoms, written as POSCAR:
```
Sr3PbC4O12
1.0
5.300 3.060 3.129
-5.300 3.060 3.129
0.000 -6.120 3.129
Sr Pb C O
3 1 4 12
direct
0.000 0.520 0.480 Sr
0.480 0.000 0.520 Sr
0.520 0.480 0.000 Sr
0.000 0.000 0.000 Pb
0.021 0.500 0.979 C
0.500 0.500 0.500 C
0.500 0.979 0.021 C
0.979 0.021 0.500 C
0.022 0.623 0.856 O
0.101 0.899 0.500 O
0.144 0.377 0.978 O
0.377 0.623 0.500 O
0.377 0.978 0.144 O
0.500 0.101 0.899 O
0.500 0.377 0.623 O
0.623 0.500 0.377 O
0.623 0.856 0.022 O
0.856 0.022 0.623 O
0.899 0.500 0.101 O
0.978 0.144 0.377 O
```

Summary:
**DOS at the Fermi energy**: 0.00 states/eV/f.u.
**Uncorrected formation energy**: -2029 meV/atom
**SG**: R32 (155)
**Crystal system**: trigonal


(12)
The following is a PBE-GGA calculation of an optimized crystal structure of TmTl3Cr2S6, from Alexandria.

Cell and atoms, written as POSCAR:
```
TmTl3Cr2S6
1.0
3.227 -5.571 0.000
3.227 5.571 0.000
-2.154 0.000 7.446
Tm Tl Cr S
1 3 2 6
direct
0.000 0.000 0.000 Tm
0.159 0.841 0.500 Tl
0.500 0.500 0.500 Tl
0.841 0.159 0.500 Tl
0.333 0.667 0.000 Cr
0.667 0.333 0.000 Cr
0.062 0.422 0.184 S
0.302 0.302 0.823 S
0.422 0.062 0.184 S
0.578 0.938 0.816 S
0.698 0.698 0.177 S
0.938 0.578 0.816 S
```

Summary:
**DOS at the Fermi energy**: 1.38 states/eV/f.u.
**Uncorrected formation energy**: -840 meV/atom
**SG**: C2/m (12)
**Crystal system**: monoclinic


Number 1: size of the total moment 0.44 μB/f.u., electronic total energy -4.219 eV per atom, V 25.7 Å³ per atom. Number 2: size of the total moment 1.35 μB/f.u., electronic total energy -8.148 eV per atom, V 14.5 Å³ per atom. Number 3: size of the total moment 0.00 μB/f.u., electronic total energy -8.040 eV per atom, V 13.5 Å³ per atom. Number 4: size of the total moment 0.00 μB/f.u., electronic total energy -4.614 eV per atom, V 30.8 Å³ per atom. Number 5: size of the total moment 0.78 μB/f.u., electronic total energy -5.240 eV per atom, V 19.3 Å³ per atom. Number 6: size of the total moment 0.00 μB/f.u., electronic total energy -6.997 eV per atom, V 27.4 Å³ per atom. Number 7: size of the total moment 0.00 μB/f.u., electronic total energy -3.038 eV per atom, V 34.0 Å³ per atom. Number 8: size of the total moment 0.12 μB/f.u., electronic total energy -4.343 eV per atom, V 32.3 Å³ per atom. Number 9: size of the total moment 0.00 μB/f.u., electronic total energy -7.521 eV per atom, V 14.4 Å³ per atom. Number 10: size of the total moment 1.34 μB/f.u., electronic total energy -2.459 eV per atom, V 22.4 Å³ per atom. Number 11: size of the total moment 0.00 μB/f.u., electronic total energy -7.286 eV per atom, V 15.2 Å³ per atom. Number 12: size of the total moment 6.01 μB/f.u., electronic total energy -5.472 eV per atom, V 22.3 Å³ per atom.